The following is a GGA+U calculation of a relaxed Li4Y3CrO8 crystal, from Alexandria.

Crystal system: orthorhombic
Electronic total energy: -7.2838 eV per atom

Cell: 5.8712 5.8712 6.1928 Å, 90.00 90.00 116.50°
Site moments in Bohr magnetons follow the coordinates.
Positions (direct):
O 0.2743 0.7257 0.0000  0.00
O 0.7257 0.2743 0.0000  0.00
O 0.7435 0.7718 0.2633  -0.01
O 0.2072 0.7928 0.5000  -0.01
O 0.7928 0.2072 0.5000  -0.01
O 0.2565 0.2282 0.2633  -0.01
O 0.7718 0.7435 0.7367  -0.01
O 0.2282 0.2565 0.7367  -0.01
Cr 0.0000 0.0000 0.5000  2.98
Y 0.5000 0.0000 0.2584  0.00
Y 0.5000 0.5000 0.0000  -0.01
Y 0.0000 0.5000 0.7416  0.00
Li 0.0000 0.0000 0.0000  0.00
Li 0.5000 0.0000 0.7536  0.00
Li 0.0000 0.5000 0.2464  0.00
Li 0.5000 0.5000 0.5000  0.00